Entry 1:
# OsNF2 (PBE, relaxed)
# DOS at the Fermi energy: 10.88 states/eV per cell
# Magnetic moment: 0.000 μB/atom
# Excess energy over the best structure of this formula in the dataset: 586.2 meV per atom
# V: 11.1 Å³/atom
# Formation energy (no corrections): 1.168 eV/atom
data_OsNF2
_chemical_formula_sum 'Os3 N3 F6'
_symmetry_space_group_name_H-M 'R -3 m'
_symmetry_Int_Tables_number 166
_symmetry_space_group_name_Hall '-R 3 2"'
_cell_length_a 2.6024
_cell_length_b 2.6024
_cell_length_c 22.7167
_cell_angle_alpha 90.00
_cell_angle_beta 90.00
_cell_angle_gamma 120.00
loop_
_atom_site_label
_atom_site_type_symbol
_atom_site_fract_x
_atom_site_fract_y
_atom_site_fract_z
Os1 Os 0.0000 0.0000 0.0000
N1 N 0.0000 0.0000 0.5000
F1 F 0.0000 0.0000 0.4214

Entry 2:
# OsN2F (PBE, relaxed)
# DOS at the Fermi energy: 12.66 states/eV per cell
# Magnetic moment: 0.000 μB/atom
# Excess energy over the best structure of this formula in the dataset: 1059.9 meV per atom
# V: 8.6 Å³/atom
# Formation energy (no corrections): 1.464 eV/atom
data_OsN2F
_chemical_formula_sum 'Os4 N8 F4'
_symmetry_space_group_name_H-M 'F m -3 m'
_symmetry_Int_Tables_number 225
_symmetry_space_group_name_Hall '-F 4 2 3'
_cell_length_a 5.153
_cell_length_b 5.153
_cell_length_c 5.153
_cell_angle_alpha 90.00
_cell_angle_beta 90.00
_cell_angle_gamma 90.00
loop_
_atom_site_label
_atom_site_type_symbol
_atom_site_fract_x
_atom_site_fract_y
_atom_site_fract_z
Os1 Os 0.000 0.000 0.000
N1 N 0.250 0.250 0.250
F1 F 0.000 0.000 0.500

Entry 3:
# Os3NF (PBE, relaxed)
# DOS at the Fermi energy: 4.53 states/eV per cell
# Magnetic moment: 0.525 μB/atom
# Excess energy over the best structure of this formula in the dataset: 0.0 meV per atom
# V: 13.3 Å³/atom
# Formation energy (no corrections): 1.116 eV/atom
data_Os3NF
_chemical_formula_sum 'Os3 N1 F1'
_symmetry_space_group_name_H-M 'P m -3 m'
_symmetry_Int_Tables_number 221
_symmetry_space_group_name_Hall '-P 4 2 3'
_cell_length_a 4.047
_cell_length_b 4.047
_cell_length_c 4.047
_cell_angle_alpha 90.00
_cell_angle_beta 90.00
_cell_angle_gamma 90.00
loop_
_atom_site_label
_atom_site_type_symbol
_atom_site_fract_x
_atom_site_fract_y
_atom_site_fract_z
Os1 Os 0.000 0.000 0.500
N1 N 0.000 0.000 0.000
F1 F 0.500 0.500 0.500

Entry 4:
# OsN2F2 (PBE, relaxed)
# DOS at the Fermi energy: 2.51 states/eV per cell
# Magnetic moment: 0.041 μB/atom
# Excess energy over the best structure of this formula in the dataset: 0.0 meV per atom
# V: 11.4 Å³/atom
# Formation energy (no corrections): 0.197 eV/atom
data_OsN2F2
_chemical_formula_sum 'Os1 N2 F2'
_symmetry_space_group_name_H-M 'P 4/m m m'
_symmetry_Int_Tables_number 123
_symmetry_space_group_name_Hall '-P 4 2'
_cell_length_a 3.772
_cell_length_b 3.772
_cell_length_c 4.014
_cell_angle_alpha 90.00
_cell_angle_beta 90.00
_cell_angle_gamma 90.00
loop_
_atom_site_label
_atom_site_type_symbol
_atom_site_fract_x
_atom_site_fract_y
_atom_site_fract_z
Os1 Os 0.000 0.000 0.000
N1 N 0.000 0.500 0.000
F1 F 0.000 0.000 0.500
F2 F 0.500 0.500 0.500

Entry 5:
# OsN2F2 (PBE, relaxed)
# DOS at the Fermi energy: 3.27 states/eV per cell
# Magnetic moment: 0.257 μB/atom
# Excess energy over the best structure of this formula in the dataset: 2071.9 meV per atom
# V: 9.9 Å³/atom
# Formation energy (no corrections): 2.269 eV/atom
data_OsN2F2
_chemical_formula_sum 'Os1 N2 F2'
_symmetry_space_group_name_H-M 'P 4/m m m'
_symmetry_Int_Tables_number 123
_symmetry_space_group_name_Hall '-P 4 2'
_cell_length_a 3.524
_cell_length_b 3.524
_cell_length_c 4.000
_cell_angle_alpha 90.00
_cell_angle_beta 90.00
_cell_angle_gamma 90.00
loop_
_atom_site_label
_atom_site_type_symbol
_atom_site_fract_x
_atom_site_fract_y
_atom_site_fract_z
Os1 Os 0.000 0.000 0.000
N1 N 0.000 0.500 0.500
F1 F 0.500 0.500 0.000
F2 F 0.500 0.500 0.500

Entry 6:
# OsN2F (PBE, relaxed)
# DOS at the Fermi energy: 40.84 states/eV per cell
# Magnetic moment: 0.093 μB/atom
# Excess energy over the best structure of this formula in the dataset: 0.0 meV per atom
# V: 17.9 Å³/atom
# Formation energy (no corrections): 0.404 eV/atom
data_OsN2F
_chemical_formula_sum 'Os4 N8 F4'
_symmetry_space_group_name_H-M 'I -4 2 d'
_symmetry_Int_Tables_number 122
_symmetry_space_group_name_Hall 'I -4 2bw'
_cell_length_a 5.868
_cell_length_b 5.868
_cell_length_c 8.315
_cell_angle_alpha 90.00
_cell_angle_beta 90.00
_cell_angle_gamma 90.00
loop_
_atom_site_label
_atom_site_type_symbol
_atom_site_fract_x
_atom_site_fract_y
_atom_site_fract_z
Os1 Os 0.000 0.000 0.000
N1 N 0.002 0.750 0.125
F1 F 0.000 0.000 0.500

Entry 7:
# OsNF2 (PBE, relaxed)
# DOS at the Fermi energy: 12.72 states/eV per cell
# Magnetic moment: 0.575 μB/atom
# Excess energy over the best structure of this formula in the dataset: 686.6 meV per atom
# V: 10.7 Å³/atom
# Formation energy (no corrections): 1.268 eV/atom
data_OsNF2
_chemical_formula_sum 'Os4 N4 F8'
_symmetry_space_group_name_H-M 'F m -3 m'
_symmetry_Int_Tables_number 225
_symmetry_space_group_name_Hall '-F 4 2 3'
_cell_length_a 5.551
_cell_length_b 5.551
_cell_length_c 5.551
_cell_angle_alpha 90.00
_cell_angle_beta 90.00
_cell_angle_gamma 90.00
loop_
_atom_site_label
_atom_site_type_symbol
_atom_site_fract_x
_atom_site_fract_y
_atom_site_fract_z
Os1 Os 0.000 0.000 0.000
N1 N 0.000 0.000 0.500
F1 F 0.250 0.250 0.250

Entry 8:
# OsN2F (PBE, relaxed)
# DOS at the Fermi energy: 5.58 states/eV per cell
# Magnetic moment: 0.000 μB/atom
# Excess energy over the best structure of this formula in the dataset: 276.5 meV per atom
# V: 11.7 Å³/atom
# Formation energy (no corrections): 0.681 eV/atom
data_OsN2F
_chemical_formula_sum 'Os3 N6 F3'
_symmetry_space_group_name_H-M 'R -3 m'
_symmetry_Int_Tables_number 166
_symmetry_space_group_name_Hall '-R 3 2"'
_cell_length_a 3.1287
_cell_length_b 3.1287
_cell_length_c 16.5190
_cell_angle_alpha 90.00
_cell_angle_beta 90.00
_cell_angle_gamma 120.00
loop_
_atom_site_label
_atom_site_type_symbol
_atom_site_fract_x
_atom_site_fract_y
_atom_site_fract_z
Os1 Os 0.0000 0.0000 0.0000
N1 N 0.0000 0.0000 0.3893
F1 F 0.0000 0.0000 0.5000

Entry 9:
# RbOsN2F (PBE, relaxed)
# DOS at the Fermi energy: 3.27 states/eV per cell
# Magnetic moment: 0.000 μB/atom
# Excess energy over the best structure of this formula in the dataset: 0.0 meV per atom
# V: 15.5 Å³/atom
# Formation energy (no corrections): -0.285 eV/atom
data_RbOsN2F
_chemical_formula_sum 'Rb1 Os1 N2 F1'
_symmetry_space_group_name_H-M 'P 4/m m m'
_symmetry_Int_Tables_number 123
_symmetry_space_group_name_Hall '-P 4 2'
_cell_length_a 3.817
_cell_length_b 3.817
_cell_length_c 5.316
_cell_angle_alpha 90.00
_cell_angle_beta 90.00
_cell_angle_gamma 90.00
loop_
_atom_site_label
_atom_site_type_symbol
_atom_site_fract_x
_atom_site_fract_y
_atom_site_fract_z
Rb1 Rb 0.000 0.000 0.000
Os1 Os 0.500 0.500 0.500
N1 N 0.000 0.500 0.500
F1 F 0.500 0.500 0.000

Entry 10:
# RbOsN2F (PBE, relaxed)
# DOS at the Fermi energy: 5.94 states/eV per cell
# Magnetic moment: 0.233 μB/atom
# Excess energy over the best structure of this formula in the dataset: 3391.8 meV per atom
# V: 17.3 Å³/atom
# Formation energy (no corrections): 3.106 eV/atom
data_RbOsN2F
_chemical_formula_sum 'Rb1 Os1 N2 F1'
_symmetry_space_group_name_H-M 'P 4/m m m'
_symmetry_Int_Tables_number 123
_symmetry_space_group_name_Hall '-P 4 2'
_cell_length_a 4.392
_cell_length_b 4.392
_cell_length_c 4.479
_cell_angle_alpha 90.00
_cell_angle_beta 90.00
_cell_angle_gamma 90.00
loop_
_atom_site_label
_atom_site_type_symbol
_atom_site_fract_x
_atom_site_fract_y
_atom_site_fract_z
Rb1 Rb 0.000 0.000 0.000
Os1 Os 0.500 0.500 0.500
N1 N 0.000 0.500 0.000
F1 F 0.000 0.000 0.500

Entry 11:
# ReOsNF2 (PBE, relaxed)
# DOS at the Fermi energy: 2.68 states/eV per cell
# Magnetic moment: 0.999 μB/atom
# Excess energy over the best structure of this formula in the dataset: 67.9 meV per atom
# V: 14.4 Å³/atom
# Formation energy (no corrections): 0.857 eV/atom
data_ReOsNF2
_chemical_formula_sum 'Re1 Os1 N1 F2'
_symmetry_space_group_name_H-M 'P 4/m m m'
_symmetry_Int_Tables_number 123
_symmetry_space_group_name_Hall '-P 4 2'
_cell_length_a 4.364
_cell_length_b 4.364
_cell_length_c 3.779
_cell_angle_alpha 90.00
_cell_angle_beta 90.00
_cell_angle_gamma 90.00
loop_
_atom_site_label
_atom_site_type_symbol
_atom_site_fract_x
_atom_site_fract_y
_atom_site_fract_z
Re1 Re 0.000 0.000 0.000
Os1 Os 0.500 0.500 0.500
N1 N 0.500 0.500 0.000
F1 F 0.000 0.500 0.500

Entry 12:
# ReOsNF2 (PBE, relaxed)
# DOS at the Fermi energy: 4.19 states/eV per cell
# Magnetic moment: 0.693 μB/atom
# Excess energy over the best structure of this formula in the dataset: 0.0 meV per atom
# V: 13.6 Å³/atom
# Formation energy (no corrections): 0.789 eV/atom
data_ReOsNF2
_chemical_formula_sum 'Re1 Os1 N1 F2'
_symmetry_space_group_name_H-M 'P 4/m m m'
_symmetry_Int_Tables_number 123
_symmetry_space_group_name_Hall '-P 4 2'
_cell_length_a 4.221
_cell_length_b 4.221
_cell_length_c 3.828
_cell_angle_alpha 90.00
_cell_angle_beta 90.00
_cell_angle_gamma 90.00
loop_
_atom_site_label
_atom_site_type_symbol
_atom_site_fract_x
_atom_site_fract_y
_atom_site_fract_z
Re1 Re 0.000 0.000 0.000
Os1 Os 0.500 0.500 0.500
N1 N 0.000 0.000 0.500
F1 F 0.000 0.500 0.000

Entry 13:
# OsRhN2F (PBE, relaxed)
# DOS at the Fermi energy: 4.26 states/eV per cell
# Magnetic moment: 0.428 μB/atom
# Excess energy over the best structure of this formula in the dataset: 781.2 meV per atom
# V: 12.2 Å³/atom
# Formation energy (no corrections): 1.567 eV/atom
data_OsRhN2F
_chemical_formula_sum 'Os1 Rh1 N2 F1'
_symmetry_space_group_name_H-M 'P 4/m m m'
_symmetry_Int_Tables_number 123
_symmetry_space_group_name_Hall '-P 4 2'
_cell_length_a 3.923
_cell_length_b 3.923
_cell_length_c 3.972
_cell_angle_alpha 90.00
_cell_angle_beta 90.00
_cell_angle_gamma 90.00
loop_
_atom_site_label
_atom_site_type_symbol
_atom_site_fract_x
_atom_site_fract_y
_atom_site_fract_z
Os1 Os 0.000 0.000 0.000
Rh1 Rh 0.500 0.500 0.500
N1 N 0.000 0.500 0.500
F1 F 0.500 0.500 0.000

Entry 14:
# OsRhN2F (PBE, relaxed)
# DOS at the Fermi energy: 6.63 states/eV per cell
# Magnetic moment: 0.361 μB/atom
# Excess energy over the best structure of this formula in the dataset: 0.0 meV per atom
# V: 12.5 Å³/atom
# Formation energy (no corrections): 0.786 eV/atom
data_OsRhN2F
_chemical_formula_sum 'Os1 Rh1 N2 F1'
_symmetry_space_group_name_H-M 'P 4/m m m'
_symmetry_Int_Tables_number 123
_symmetry_space_group_name_Hall '-P 4 2'
_cell_length_a 3.832
_cell_length_b 3.832
_cell_length_c 4.247
_cell_angle_alpha 90.00
_cell_angle_beta 90.00
_cell_angle_gamma 90.00
loop_
_atom_site_label
_atom_site_type_symbol
_atom_site_fract_x
_atom_site_fract_y
_atom_site_fract_z
Os1 Os 0.000 0.000 0.000
Rh1 Rh 0.500 0.500 0.500
N1 N 0.000 0.500 0.000
F1 F 0.000 0.000 0.500

Entry 15:
# OsRuNF2 (PBE, relaxed)
# DOS at the Fermi energy: 6.26 states/eV per cell
# Magnetic moment: 0.635 μB/atom
# Excess energy over the best structure of this formula in the dataset: 0.0 meV per atom
# V: 13.8 Å³/atom
# Formation energy (no corrections): 0.485 eV/atom
data_OsRuNF2
_chemical_formula_sum 'Os1 Ru1 N1 F2'
_symmetry_space_group_name_H-M 'P 4/m m m'
_symmetry_Int_Tables_number 123
_symmetry_space_group_name_Hall '-P 4 2'
_cell_length_a 4.279
_cell_length_b 4.279
_cell_length_c 3.762
_cell_angle_alpha 90.00
_cell_angle_beta 90.00
_cell_angle_gamma 90.00
loop_
_atom_site_label
_atom_site_type_symbol
_atom_site_fract_x
_atom_site_fract_y
_atom_site_fract_z
Os1 Os 0.000 0.000 0.000
Ru1 Ru 0.500 0.500 0.500
N1 N 0.000 0.000 0.500
F1 F 0.000 0.500 0.000

Entry 16:
# OsRuN2F (PBE, relaxed)
# DOS at the Fermi energy: 4.99 states/eV per cell
# Magnetic moment: 0.517 μB/atom
# Excess energy over the best structure of this formula in the dataset: 453.5 meV per atom
# V: 12.1 Å³/atom
# Formation energy (no corrections): 1.389 eV/atom
data_OsRuN2F
_chemical_formula_sum 'Os1 Ru1 N2 F1'
_symmetry_space_group_name_H-M 'P 4/m m m'
_symmetry_Int_Tables_number 123
_symmetry_space_group_name_Hall '-P 4 2'
_cell_length_a 3.894
_cell_length_b 3.894
_cell_length_c 3.989
_cell_angle_alpha 90.00
_cell_angle_beta 90.00
_cell_angle_gamma 90.00
loop_
_atom_site_label
_atom_site_type_symbol
_atom_site_fract_x
_atom_site_fract_y
_atom_site_fract_z
Os1 Os 0.000 0.000 0.000
Ru1 Ru 0.500 0.500 0.500
N1 N 0.000 0.500 0.500
F1 F 0.500 0.500 0.000

Entry 17:
# OsRuN2F (PBE, relaxed)
# DOS at the Fermi energy: 4.54 states/eV per cell
# Magnetic moment: 0.641 μB/atom
# Excess energy over the best structure of this formula in the dataset: 0.0 meV per atom
# V: 12.5 Å³/atom
# Formation energy (no corrections): 0.936 eV/atom
data_OsRuN2F
_chemical_formula_sum 'Os1 Ru1 N2 F1'
_symmetry_space_group_name_H-M 'P 4/m m m'
_symmetry_Int_Tables_number 123
_symmetry_space_group_name_Hall '-P 4 2'
_cell_length_a 3.849
_cell_length_b 3.849
_cell_length_c 4.230
_cell_angle_alpha 90.00
_cell_angle_beta 90.00
_cell_angle_gamma 90.00
loop_
_atom_site_label
_atom_site_type_symbol
_atom_site_fract_x
_atom_site_fract_y
_atom_site_fract_z
Os1 Os 0.000 0.000 0.000
Ru1 Ru 0.500 0.500 0.500
N1 N 0.000 0.500 0.000
F1 F 0.000 0.000 0.500

Entry 18:
# OsRuNF2 (PBE, relaxed)
# DOS at the Fermi energy: 5.31 states/eV per cell
# Magnetic moment: 0.722 μB/atom
# Excess energy over the best structure of this formula in the dataset: 320.3 meV per atom
# V: 13.6 Å³/atom
# Formation energy (no corrections): 0.805 eV/atom
data_OsRuNF2
_chemical_formula_sum 'Os1 Ru1 N1 F2'
_symmetry_space_group_name_H-M 'P 4/m m m'
_symmetry_Int_Tables_number 123
_symmetry_space_group_name_Hall '-P 4 2'
_cell_length_a 4.274
_cell_length_b 4.274
_cell_length_c 3.730
_cell_angle_alpha 90.00
_cell_angle_beta 90.00
_cell_angle_gamma 90.00
loop_
_atom_site_label
_atom_site_type_symbol
_atom_site_fract_x
_atom_site_fract_y
_atom_site_fract_z
Os1 Os 0.000 0.000 0.000
Ru1 Ru 0.500 0.500 0.500
N1 N 0.500 0.500 0.000
F1 F 0.000 0.500 0.500

Entry 19:
# OsSNF2 (PBE, relaxed)
# DOS at the Fermi energy: 3.64 states/eV per cell
# Magnetic moment: 0.312 μB/atom
# Excess energy over the best structure of this formula in the dataset: 0.0 meV per atom
# V: 13.6 Å³/atom
# Formation energy (no corrections): 0.221 eV/atom
data_OsSNF2
_chemical_formula_sum 'Os1 S1 N1 F2'
_symmetry_space_group_name_H-M 'P 4/m m m'
_symmetry_Int_Tables_number 123
_symmetry_space_group_name_Hall '-P 4 2'
_cell_length_a 4.248
_cell_length_b 4.248
_cell_length_c 3.757
_cell_angle_alpha 90.00
_cell_angle_beta 90.00
_cell_angle_gamma 90.00
loop_
_atom_site_label
_atom_site_type_symbol
_atom_site_fract_x
_atom_site_fract_y
_atom_site_fract_z
Os1 Os 0.000 0.000 0.000
S1 S 0.500 0.500 0.500
N1 N 0.000 0.000 0.500
F1 F 0.000 0.500 0.000

Entry 20:
# OsSNF2 (PBE, relaxed)
# DOS at the Fermi energy: 4.11 states/eV per cell
# Magnetic moment: 0.852 μB/atom
# Excess energy over the best structure of this formula in the dataset: 882.3 meV per atom
# V: 14.5 Å³/atom
# Formation energy (no corrections): 1.104 eV/atom
data_OsSNF2
_chemical_formula_sum 'Os1 S1 N1 F2'
_symmetry_space_group_name_H-M 'P 4/m m m'
_symmetry_Int_Tables_number 123
_symmetry_space_group_name_Hall '-P 4 2'
_cell_length_a 4.767
_cell_length_b 4.767
_cell_length_c 3.200
_cell_angle_alpha 90.00
_cell_angle_beta 90.00
_cell_angle_gamma 90.00
loop_
_atom_site_label
_atom_site_type_symbol
_atom_site_fract_x
_atom_site_fract_y
_atom_site_fract_z
Os1 Os 0.000 0.000 0.000
S1 S 0.500 0.500 0.500
N1 N 0.500 0.500 0.000
F1 F 0.000 0.500 0.500